Entry 1:
YPtW3: relaxed, PBE-GGA.

Geometry as POSCAR:
```
YPtW3
1.0
4.859 0.000 0.000
0.000 4.859 0.000
0.000 0.000 4.859
Y W Pt
1 3 1
direct
0.500 0.500 0.500
0.000 0.500 0.000
0.000 0.000 0.500
0.500 0.000 0.000
0.000 0.000 0.000
```

Properties
Its uncorrected energy is -0.6387 Ry per atom. The calculated volume is 22.9 A^3/atom. Its calculated formation energy is 1.58 eV/atom. As for the symmetry: Pm-3m. For the energy above the most stable polymorph in this dataset, the calculation gives 0.00 eV per formula unit.



Entry 2:
Ac2ErSn: relaxed, PBE-GGA.

Geometry as POSCAR:
```
Ac2ErSn
1.0
-4.107 -2.751 1.268
2.400 -4.313 -1.579
1.923 -0.674 4.765
Ac Sn Er
2 1 1
direct
0.000 0.000 0.500
0.000 0.500 0.000
0.500 0.000 0.000
0.500 0.500 0.500
```

Properties
Its uncorrected energy is -0.3308 Ry per atom. The calculated volume is 34.3 A^3/atom. Its calculated formation energy is -0.30 eV/atom. As for the symmetry: P4/mmm. For the energy above the most stable polymorph in this dataset, the calculation gives 0.00 eV per formula unit.



Entry 3:
RbAgS2N: relaxed, PBE-GGA.

Geometry as POSCAR:
```
RbAgS2N
1.0
5.946 0.000 0.000
0.000 5.946 0.000
0.000 0.000 5.324
S Rb Ag N
2 1 1 1
direct
0.000 0.500 0.000
0.500 0.000 0.000
0.000 0.000 0.000
0.500 0.500 0.500
0.000 0.000 0.500
```

Properties
The energy relative to the elements, uncorrected comes out at 1.79 eV/atom. Its uncorrected energy is -0.1684 Ry per atom. The calculated volume is 37.6 A^3/atom. As for the symmetry: P4/mmm. For the energy above the most stable polymorph in this dataset, the calculation gives 5.20 eV per formula unit.



Entry 4:
Sr3Bi2As2Pd4: relaxed, PBE-GGA.

Geometry as POSCAR:
```
Sr3Bi2As2Pd4
1.0
4.590 0.000 0.000
-2.295 3.975 0.000
0.000 0.000 15.432
Sr Bi As Pd
3 2 2 4
direct
0.000 0.000 0.742
0.000 0.000 0.000
0.000 0.000 0.258
0.667 0.333 0.423
0.333 0.667 0.577
0.667 0.333 0.860
0.333 0.667 0.140
0.667 0.333 0.132
0.333 0.667 0.868
0.667 0.333 0.607
0.333 0.667 0.393
```

Properties
Its uncorrected energy is -0.3368 Ry per atom. The calculated volume is 25.6 A^3/atom. Its calculated formation energy is -0.69 eV/atom. As for the symmetry: P-3m1.



> What is the uncorrected energy in the fourth record?

-0.3368 Ry per atom



> Number 1 is which compound?

YPtW3



> uncorrected energy of number 2 (Ac2ErSn)?

-0.3308 Ry per atom



> Number 2 is which compound?

Ac2ErSn